5
Lattice="-3.440 -1.010 -1.490 1.292 -3.623 -0.527 -1.253 -0.963 3.547" Properties=species:S:1:pos:R:3 comment="VZnB3, optimized geometry, DFT GGA-PBE" e_form_kcal_per_mol_atoms=42.26 dos_at_fermi_per_ev_cell=5.7 energy_ev_per_atom=-4.25 magnetic_moment_mub_per_fu=2.0 pbc="T T T"
Zn 0.000 0.000 0.000
B 0.646 -1.812 -0.264
B -1.720 -0.505 -0.745
V -1.701 -2.798 0.765
B -0.627 -0.481 1.773

5
Lattice="-3.864 0.845 -0.260 -0.546 -3.196 -2.281 -0.696 -2.188 3.232" Properties=species:S:1:pos:R:3 comment="VZnB3, optimized geometry, DFT GGA-PBE" e_form_kcal_per_mol_atoms=29.90 dos_at_fermi_per_ev_cell=1.8 energy_ev_per_atom=-4.79 magnetic_moment_mub_per_fu=0.0 pbc="T T T"
B -0.273 -1.598 -1.140
V 0.000 0.000 0.000
B -1.932 0.423 -0.130
Zn -2.553 -2.269 0.345
B -0.348 -1.094 1.616

5
Lattice="4.135 0.000 0.000 0.000 4.135 0.000 0.000 0.000 4.135" Properties=species:S:1:pos:R:3 comment="VZn3B, optimized geometry, DFT GGA-PBE" e_form_kcal_per_mol_atoms=14.09 polymorph_energy_ev_per_atom=0.000 dos_at_fermi_per_ev_cell=5.0 energy_ev_per_atom=-3.31 magnetic_moment_mub_per_fu=3.1 pbc="T T T"
Zn 2.068 0.000 0.000
B 0.000 0.000 0.000
Zn 0.000 2.068 0.000
V 2.068 2.068 2.068
Zn 0.000 0.000 2.068